Record 1
Material: Ba2LiTl2
Method: DFT, PBE
State: relaxed

POSCAR file:
```
Ba2LiTl2
1.0
-0.370 0.895 -4.904
-6.128 -2.989 -0.083
0.878 5.877 3.554
Ba Tl Li
2 2 1
Direct
0.187 0.687 0.375
0.813 0.313 0.625
0.500 0.766 0.000
0.500 0.234 0.000
0.000 0.000 0.000
```

Record 2
Material: BaLi2TmTl4
Method: DFT, PBE
State: relaxed

POSCAR file:
```
BaLi2TmTl4
1.0
4.917 0.000 0.000
2.458 4.258 0.000
2.458 1.419 10.848
Tl Tm Ba Li
4 1 1 2
Direct
0.123 0.123 0.632
0.401 0.401 0.796
0.877 0.877 0.368
0.599 0.599 0.204
0.500 0.500 0.500
0.000 0.000 0.000
0.773 0.773 0.680
0.227 0.227 0.320
```

Record 3
Material: Ba2Li2TmTl5
Method: DFT, PBE
State: relaxed

POSCAR file:
```
Ba2Li2TmTl5
1.0
-2.066 3.416 0.113
-10.208 -6.221 1.408
1.380 0.440 11.949
Li Tl Tm Ba
4 10 2 4
Direct
0.000 0.379 0.121
0.000 0.621 0.879
0.000 0.879 0.379
0.000 0.121 0.621
0.500 0.441 0.296
0.500 0.296 0.559
0.500 0.500 0.000
0.500 0.941 0.204
0.500 0.000 0.500
0.500 0.059 0.796
0.500 0.796 0.941
0.500 0.559 0.704
0.500 0.704 0.441
0.500 0.204 0.059
0.000 0.000 0.000
0.000 0.500 0.500
0.000 0.321 0.821
0.000 0.679 0.179
0.000 0.821 0.679
0.000 0.179 0.321
```

Record 4
Material: Ba2Li2YTl5
Method: DFT, PBE
State: relaxed

POSCAR file:
```
Ba2Li2YTl5
1.0
4.027 0.000 0.000
0.000 12.035 0.000
0.000 0.000 12.035
Li Ba Tl Y
4 4 10 2
Direct
0.000 0.121 0.621
0.000 0.621 0.879
0.000 0.879 0.379
0.000 0.379 0.121
0.000 0.679 0.179
0.000 0.821 0.679
0.000 0.179 0.321
0.000 0.321 0.821
0.500 0.440 0.293
0.500 0.000 0.500
0.500 0.207 0.060
0.500 0.793 0.940
0.500 0.560 0.707
0.500 0.293 0.560
0.500 0.060 0.793
0.500 0.500 0.000
0.500 0.940 0.207
0.500 0.707 0.440
0.000 0.500 0.500
0.000 0.000 0.000
```

Record 5
Material: BaLi2TlZn
Method: DFT, PBE
State: relaxed

POSCAR file:
```
BaLi2TlZn
1.0
5.239 0.000 0.000
0.000 5.239 0.000
0.000 0.000 5.323
Zn Ba Tl Li
1 1 1 2
Direct
0.000 0.000 0.000
0.500 0.500 0.500
0.000 0.000 0.500
0.000 0.500 0.000
0.500 0.000 0.000
```

Record 6
Material: BaLi2TlZn
Method: DFT, PBE
State: relaxed

POSCAR file:
```
BaLi2TlZn
1.0
-3.319 -1.060 -3.970
-1.783 -4.226 2.619
-3.747 3.022 2.326
Tl Li Zn Ba
1 2 1 1
Direct
0.000 0.000 0.000
0.500 0.000 0.000
0.000 0.500 0.000
0.000 0.000 0.500
0.500 0.500 0.500
```

Number 1: uncorrected energy -2.39 eV per atom, calculated formation energy -0.2897 eV per atom, ρ 6134 kg/m³. Number 2: uncorrected energy -2.79 eV per atom, calculated formation energy -0.3255 eV per atom, ρ 8318 kg/m³. Number 3: uncorrected energy -2.71 eV per atom, calculated formation energy -0.3131 eV per atom, ρ 8492 kg/m³. Number 4: uncorrected energy -2.93 eV per atom, calculated formation energy -0.3285 eV per atom, ρ 7967 kg/m³. Number 5: uncorrected energy -1.95 eV per atom, calculated formation energy -0.0763 eV per atom, ρ 4785 kg/m³. Number 6: uncorrected energy -1.94 eV per atom, calculated formation energy -0.0652 eV per atom, ρ 4688 kg/m³.